## w
The following is a DFT calculation (PBEsol) of a relaxed YMg2Tl crystal.

The space group is P4/mmm (No. 123) and the conventional cell measures 4.474, 4.474 and 4.773 Å, with angles of 90.00, 90.00 and 90.00 degrees. Symmetry generates all atoms from Y at (0.000, 0.000, 0.000), Mg at (0.000, 0.500, 0.500) and Tl at (0.500, 0.500, 0.000).

=====

## x
The following is a DFT calculation (PBEsol) of a relaxed YMg2Tl crystal.

The space group is C2/m (No. 12) and the conventional cell measures 11.599, 3.821 and 5.019 Å, with angles of 90.00, 115.31 and 90.00 degrees. Symmetry generates all atoms from Y at (0.000, 0.000, 0.000), Mg at (0.236, 0.000, 0.736) and Tl at (0.000, 0.500, 0.500).

=====

## y
The following is a DFT calculation (PBEsol) of a relaxed YMg2Tl crystal.

The space group is Pm (No. 6) and the conventional cell measures 3.384, 4.719 and 6.438 Å, with angles of 90.00, 105.39 and 90.00 degrees. Symmetry generates all atoms from Y at (0.000, 0.000, 0.000), Mg at (0.257, 0.000, 0.516), Mg at (0.657, 0.500, 0.314) and Tl at (0.396, 0.500, 0.793).

=====

Energy ordering: w at the bottom, the next structure 8.8 kJ/mol of atoms above.